TbCeAu6 | PBE-GGA | relaxed

Unit cell a=8.567 b=4.910 c=8.583 alpha=90.00 beta=110.04 gamma=90.00
Space group C2/m (No. 12)
One atom of each set of equivalent atoms:
Tb (0.000, 0.000, 0.000) [2 per cell]
Ce (0.000, 0.500, 0.500) [2 per cell]
Au (0.123, 0.000, 0.370) [4 per cell]
Au (0.127, 0.500, 0.880) [4 per cell]
Au (0.250, 0.000, 0.749) [4 per cell]

Spin magnetization: 0.6 μB/f.u.
E: -70.437 eV per cell